VASP calculation (GGA-PBEsol) on a relaxed LiF crystal.

For the formation energy (no corrections), the calculation gives -2.955 eV per atom. The calculation puts the magnetic moment at 0.00 μB per formula unit. Its excess energy over the best structure of this formula in the dataset is 5 kJ/mol of formula units. The calculation puts the raw total energy at -19.6 eV for the cell shown. The calculated density is 2.18 g/cm3.

The space group is P6_3mc (No. 186) and the conventional cell measures 3.1051, 3.1051 and 4.7377 Å, with angles of 90.00, 90.00 and 120.00 degrees. The inequivalent atoms are Li at (0.3333, 0.6667, 0.0000) and F at (0.3333, 0.6667, 0.3962).


VASP calculation (GGA-PBEsol) on a relaxed SiRhBr2 crystal.

For the formation energy (no corrections), the calculation gives 0.417 eV per atom. The calculation puts the magnetic moment at 0.00 μB per formula unit. Its excess energy over the best structure of this formula in the dataset is 0 kJ/mol of formula units. The calculation puts the raw total energy at -31.9 eV for the cell shown. The calculated density is 6.13 g/cm3.

The space group is I4/mmm (No. 139) and the conventional cell measures 5.140, 5.140 and 5.962 Å, with angles of 90.00, 90.00 and 90.00 degrees. The inequivalent atoms are Si at (0.000, 0.000, 0.000), Rh at (0.000, 0.000, 0.500) and Br at (0.000, 0.500, 0.000).


VASP calculation (GGA-PBEsol) on a relaxed NiOsCl crystal.

For the formation energy (no corrections), the calculation gives 1.119 eV per atom. The calculation puts the magnetic moment at 0.01 μB per formula unit. The calculation puts the raw total energy at -68.1 eV for the cell shown. The calculated density is 10.29 g/cm3.

The space group is F-43m (No. 216) and the conventional cell measures 5.683, 5.683 and 5.683 Å, with angles of 90.00, 90.00 and 90.00 degrees. The inequivalent atoms are Ni at (0.000, 0.000, 0.000), Os at (0.250, 0.250, 0.750) and Cl at (0.000, 0.000, 0.500).


VASP calculation (GGA-PBEsol) on a relaxed ZnGa2O crystal.

For the formation energy (no corrections), the calculation gives 0.034 eV per atom. The calculation puts the magnetic moment at 0.00 μB per formula unit. The calculation puts the raw total energy at -53.5 eV for the cell shown. The calculated density is 6.31 g/cm3.

The space group is Fm-3m (No. 225) and the conventional cell measures 6.148, 6.148 and 6.148 Å, with angles of 90.00, 90.00 and 90.00 degrees. The inequivalent atoms are Zn at (0.000, 0.000, 0.000), Ga at (0.250, 0.250, 0.250) and O at (0.000, 0.000, 0.500).


VASP calculation (GGA-PBEsol) on a relaxed MgSeN2F crystal.

For the formation energy (no corrections), the calculation gives 0.541 eV per atom. The calculation puts the magnetic moment at 1.57 μB per formula unit. Its excess energy over the best structure of this formula in the dataset is 107 kJ/mol of formula units. The calculation puts the raw total energy at -21.8 eV for the cell shown. The calculated density is 4.06 g/cm3.

The space group is P4/mmm (No. 123) and the conventional cell measures 4.143, 4.143 and 3.579 Å, with angles of 90.00, 90.00 and 90.00 degrees. The inequivalent atoms are Mg at (0.000, 0.000, 0.000), Se at (0.500, 0.500, 0.500), N at (0.000, 0.500, 0.000) and F at (0.000, 0.000, 0.500).


VASP calculation (GGA-PBEsol) on a relaxed BMoPd3 crystal.

The calculation puts the magnetic moment at 3.42 μB per formula unit. The calculation puts the raw total energy at -35.0 eV for the cell shown. The calculated density is 10.01 g/cm3.

The space group is Pm-3m (No. 221) and the conventional cell measures 4.134, 4.134 and 4.134 Å, with angles of 90.00, 90.00 and 90.00 degrees. The inequivalent atoms are B at (0.000, 0.000, 0.000), Mo at (0.500, 0.500, 0.500) and Pd at (0.000, 0.000, 0.500).


VASP calculation (GGA-PBEsol) on a relaxed LuTe crystal.

For the formation energy (no corrections), the calculation gives -1.145 eV per atom. The calculation puts the magnetic moment at 0.00 μB per formula unit. The calculation puts the raw total energy at -42.8 eV for the cell shown. The calculated density is 9.55 g/cm3.

The space group is Fm-3m (No. 225) and the conventional cell measures 5.948, 5.948 and 5.948 Å, with angles of 90.00, 90.00 and 90.00 degrees. The inequivalent atoms are Lu at (0.000, 0.000, 0.000) and Te at (0.000, 0.000, 0.500).


VASP calculation (GGA-PBEsol) on a relaxed TaCoSe2 crystal.

For the formation energy (no corrections), the calculation gives 0.135 eV per atom. The calculation puts the magnetic moment at 0.00 μB per formula unit. The calculation puts the raw total energy at -54.9 eV for the cell shown. The calculated density is 10.85 g/cm3.

The space group is I-4m2 (No. 119) and the conventional cell measures 3.663, 3.663 and 9.074 Å, with angles of 90.00, 90.00 and 90.00 degrees. The inequivalent atoms are Ta at (0.000, 0.000, 0.000), Co at (0.000, 0.500, 0.250), Se at (0.000, 0.000, 0.500) and Se at (0.000, 0.500, 0.750).


Values for D(E_F), states/eV/cell, ordered as above
0.0; 4.4; 15.3; 1.9; 2.3; 5.3; 4.5; 5.1